[1]
Nd5Cd6 PBE-GGA optimized geometry; formation energy = -0.208 eV/atom
1.0
-2.718 3.724 8.003
2.718 -3.724 8.003
2.718 3.724 -8.003
Nd Cd
5 6
Cartesian
0.000 0.000 0.000
2.718 0.000 2.591
0.000 0.000 5.095
0.000 0.000 10.911
0.000 3.724 5.412
2.718 -1.616 5.596
2.718 2.120 0.000
0.000 2.108 2.407
2.718 1.616 5.596
0.000 1.604 8.003
0.000 5.339 2.407

[2]
CdNiAgPd PBE-GGA optimized geometry; formation energy = -0.012 eV/atom
1.0
6.357 0.000 0.000
0.000 6.357 0.000
0.000 0.000 6.357
Cd Ni Ag Pd
4 4 4 4
Cartesian
0.000 0.000 0.000
0.000 3.179 3.179
3.179 0.000 3.179
3.179 3.179 0.000
1.589 1.589 1.589
1.589 4.768 4.768
4.768 1.589 4.768
4.768 4.768 1.589
0.000 0.000 3.179
0.000 3.179 0.000
3.179 0.000 0.000
3.179 3.179 3.179
1.589 1.589 4.768
1.589 4.768 1.589
4.768 1.589 1.589
4.768 4.768 4.768

[3]
ZnFe2P PBE-GGA optimized geometry; formation energy = -0.164 eV/atom
1.0
2.737 0.000 0.000
0.000 2.737 0.000
0.000 0.000 5.975
Zn Fe P
1 2 1
Cartesian
0.000 0.000 0.000
1.368 1.368 1.736
1.368 1.368 4.239
0.000 0.000 2.987

[4]
LaCuO3 PBE-GGA optimized geometry; E_form (uncorrected) = -1.311 eV/atom
1.0
3.954 0.000 0.000
0.000 3.954 0.000
0.000 0.000 5.887
La Cu O
1 1 3
Cartesian
0.000 0.000 0.000
1.977 1.977 1.710
0.000 0.000 3.879
0.000 1.977 1.295
1.977 0.000 1.295

[5]
HfBeNb PBE-GGA optimized geometry; formation energy = 0.247 eV/atom
1.0
5.918 0.000 0.000
0.000 5.918 0.000
0.000 0.000 5.918
Hf Be Nb
4 4 4
Cartesian
0.916 2.043 3.875
2.043 3.875 0.916
3.875 0.916 2.043
5.002 5.002 5.002
0.125 5.793 2.834
2.834 0.125 5.793
3.084 3.084 3.084
5.793 2.834 0.125
0.882 0.882 0.882
2.077 5.036 3.841
3.841 2.077 5.036
5.036 3.841 2.077

[6]
ReP2Se PBE-GGA optimized geometry; E_form (uncorrected) = 0.160 eV/atom
1.0
2.938 0.000 0.000
0.000 2.938 0.000
0.000 0.000 8.122
Re P Se
1 2 1
Cartesian
0.000 0.000 0.000
1.469 1.469 1.425
1.469 1.469 6.697
0.000 0.000 4.061

[7]
DyTm2Hf PBE-GGA optimized geometry; formation energy = 0.130 eV/atom
1.0
4.799 0.000 0.000
0.000 4.799 0.000
0.000 0.000 4.807
Dy Tm Hf
1 2 1
Cartesian
0.000 0.000 0.000
0.000 2.400 2.403
2.400 0.000 2.403
2.400 2.400 0.000

[8]
Tl2POs PBE-GGA optimized geometry; formation energy = 1.150 eV/atom
1.0
6.847 0.000 0.000
0.000 6.847 0.000
0.000 0.000 6.847
Tl P Os
8 4 4
Cartesian
1.712 1.712 1.712
1.712 1.712 5.135
1.712 5.135 1.712
1.712 5.135 5.135
5.135 1.712 1.712
5.135 1.712 5.135
5.135 5.135 1.712
5.135 5.135 5.135
0.000 0.000 0.000
0.000 3.423 3.423
3.423 0.000 3.423
3.423 3.423 0.000
0.000 0.000 3.423
0.000 3.423 0.000
3.423 0.000 0.000
3.423 3.423 3.423

[9]
Er3Tm3GaRu2 PBE-GGA optimized geometry; formation energy = -0.242 eV/atom
1.0
8.056 0.000 0.000
-4.028 6.977 0.000
0.000 0.000 3.759
Er Tm Ga Ru
3 3 1 2
Cartesian
-2.897 5.018 0.000
1.131 1.960 0.000
5.794 0.000 0.000
-1.585 2.745 1.879
3.169 0.000 1.879
2.443 4.232 1.879
0.000 0.000 1.879
0.000 4.651 0.000
4.028 2.326 0.000

[10]
HoTaFe10 PBE-GGA optimized geometry; formation energy = 0.018 eV/atom
1.0
3.971 0.000 0.000
0.000 4.829 0.000
0.000 0.000 8.351
Ho Ta Fe
1 1 10
Cartesian
0.000 0.000 0.000
0.000 2.415 4.175
0.000 0.000 2.864
0.000 0.000 5.487
0.000 2.415 1.497
0.000 2.415 6.854
1.986 0.000 4.175
1.986 1.225 2.159
1.986 1.225 6.192
1.986 2.415 0.000
1.986 3.605 2.159
1.986 3.605 6.192

[11]
La2In2Sn PBE-GGA optimized geometry; formation energy = -0.544 eV/atom
1.0
7.896 0.000 0.000
0.000 7.896 0.000
0.000 0.000 4.885
La In Sn
4 4 2
Cartesian
1.350 2.598 0.000
2.598 6.546 0.000
5.298 1.350 0.000
6.546 5.298 0.000
1.027 4.975 2.443
2.921 1.027 2.443
4.975 6.869 2.443
6.869 2.921 2.443
0.000 0.000 2.443
3.948 3.948 2.443

[12]
LiTeO2F PBE-GGA optimized geometry; E_form (uncorrected) = -0.922 eV/atom
1.0
3.813 0.000 0.000
0.000 3.813 0.000
0.000 0.000 3.413
Li Te O F
1 1 2 1
Cartesian
0.000 0.000 0.000
1.907 1.907 1.706
0.000 1.907 0.000
1.907 0.000 0.000
0.000 0.000 1.706